No. 1
Material: MgZr2Co4
Method: DFT, GGA-PBE
State: optimized geometry Values from VASP.

Cell and atoms, written as Quantum ESPRESSO input:
```
&SYSTEM
  ibrav = 0, nat = 7, ntyp = 3
/
ATOMIC_SPECIES
Mg 24.30 Mg.upf
Co 58.93 Co.upf
Zr 91.22 Zr.upf
CELL_PARAMETERS angstrom
-1.1432 -1.4035 -3.8290
3.9145 0.7374 -1.4390
3.1137 -6.2679 -0.9746
ATOMIC_POSITIONS crystal
Mg 0.0000 0.0000 0.0000
Co 0.8201 0.8201 0.3599
Co 0.1799 0.1799 0.6401
Co 0.0000 0.5000 0.0000
Co 0.5000 0.0000 0.0000
Zr 0.6348 0.6348 0.7303
Zr 0.3652 0.3652 0.2697
```

ΔH_f (0 K) in eV per atom: 0.686

***

No. 2
Material: PaVMoW
Method: DFT, GGA-PBE
State: optimized geometry Values from VASP.

Cell and atoms, written as Quantum ESPRESSO input:
```
&SYSTEM
  ibrav = 0, nat = 4, ntyp = 4
/
ATOMIC_SPECIES
Mo 95.94 Mo.upf
Pa 231.04 Pa.upf
W 183.84 W.upf
V 50.94 V.upf
CELL_PARAMETERS angstrom
4.6090 0.0000 0.0000
2.3045 3.9915 0.0000
2.3045 1.3305 3.7633
ATOMIC_POSITIONS crystal
Mo 0.5000 0.5000 0.5000
Pa 0.2500 0.2500 0.2500
W 0.7500 0.7500 0.7500
V 0.0000 0.0000 0.0000
```

ΔH_f (0 K) in eV per atom: 0.098

***

No. 3
Material: AcPrTm4
Method: DFT, GGA-PBE
State: optimized geometry Values from VASP.

Cell and atoms, written as Quantum ESPRESSO input:
```
&SYSTEM
  ibrav = 0, nat = 12, ntyp = 3
/
ATOMIC_SPECIES
Ac 227.00 Ac.upf
Pr 140.91 Pr.upf
Tm 168.93 Tm.upf
CELL_PARAMETERS angstrom
10.4114 0.3419 -2.0366
-0.7937 6.6430 -2.9422
-2.1322 -1.2976 6.7231
ATOMIC_POSITIONS crystal
Ac 0.6676 0.4226 0.8451
Ac 0.3324 0.5774 0.1549
Pr 0.3282 0.0768 0.1535
Pr 0.6718 0.9232 0.8465
Tm 0.9978 0.2474 0.4948
Tm 0.6775 0.4222 0.3510
Tm 0.0000 0.2486 0.0000
Tm 0.3225 0.0712 0.6490
Tm 0.0022 0.7526 0.5052
Tm 0.3225 0.5778 0.6490
Tm 0.0000 0.7514 0.0000
Tm 0.6775 0.9288 0.3510
```

ΔH_f (0 K) in eV per atom: 0.050
ΔE to the lowest computed polymorph in meV/atom: 0

***

No. 4
Material: InGaOs
Method: DFT, GGA-PBE
State: optimized geometry Values from VASP.

Cell and atoms, written as Quantum ESPRESSO input:
```
&SYSTEM
  ibrav = 0, nat = 12, ntyp = 3
/
ATOMIC_SPECIES
Os 190.23 Os.upf
Ga 69.72 Ga.upf
In 114.82 In.upf
CELL_PARAMETERS angstrom
-4.5949 1.8991 1.5187
1.5547 -6.0695 3.3956
2.9596 3.3936 4.7107
ATOMIC_POSITIONS crystal
Os 0.5994 0.1989 0.5683
Os 0.9006 0.8011 0.0683
Os 0.4006 0.8011 0.4317
Os 0.0994 0.1989 0.9317
Ga 0.2969 0.0939 0.2500
Ga 0.2031 0.9061 0.7500
Ga 0.7031 0.9061 0.7500
Ga 0.7969 0.0939 0.2500
In 0.8003 0.6005 0.4342
In 0.6997 0.3995 0.9342
In 0.1997 0.3995 0.5658
In 0.3003 0.6005 0.0658
```

ΔH_f (0 K) in eV per atom: 0.187

***

No. 5
Material: PrSm2Hg2Pb2
Method: DFT, GGA-PBE
State: optimized geometry Values from VASP.

Cell and atoms, written as Quantum ESPRESSO input:
```
&SYSTEM
  ibrav = 0, nat = 7, ntyp = 4
/
ATOMIC_SPECIES
Pr 140.91 Pr.upf
Sm 150.36 Sm.upf
Hg 200.59 Hg.upf
Pb 207.20 Pb.upf
CELL_PARAMETERS angstrom
-2.5607 1.2895 4.2395
0.0853 -3.0884 4.0802
6.6110 3.7799 5.9327
ATOMIC_POSITIONS crystal
Pr 0.0000 0.0000 0.0000
Sm 0.1312 0.1312 0.6064
Sm 0.8688 0.8688 0.3936
Hg 0.5653 0.5653 0.3041
Hg 0.4347 0.4347 0.6959
Pb 0.7284 0.7284 0.8149
Pb 0.2716 0.2716 0.1851
```

ΔH_f (0 K) in eV per atom: -0.274

***

No. 6
Material: Tm3TcPb
Method: DFT, GGA-PBE
State: optimized geometry Values from VASP.

Cell and atoms, written as Quantum ESPRESSO input:
```
&SYSTEM
  ibrav = 0, nat = 10, ntyp = 3
/
ATOMIC_SPECIES
Tm 168.93 Tm.upf
Tc 98.00 Tc.upf
Pb 207.20 Pb.upf
CELL_PARAMETERS angstrom
3.3691 0.0001 0.0013
0.0000 8.0741 0.0004
-0.0011 0.0001 9.3786
ATOMIC_POSITIONS crystal
Tm 0.0907 0.8959 0.5914
Tm 0.0902 0.3288 0.6839
Tm 0.0907 0.3288 0.0914
Tm 0.0906 0.6718 0.8877
Tm 0.0902 0.8958 0.1839
Tm 0.0906 0.5528 0.3877
Tc 0.5908 0.6123 0.1377
Tc 0.5907 0.6123 0.6377
Pb 0.5909 0.0446 0.8877
Pb 0.5909 0.1800 0.3877
```

ΔH_f (0 K) in eV per atom: -0.182
ΔE to the lowest computed polymorph in meV/atom: 10

***

No. 7
Material: Li2CaTb
Method: DFT, GGA-PBE
State: optimized geometry Values from VASP.

Cell and atoms, written as Quantum ESPRESSO input:
```
&SYSTEM
  ibrav = 0, nat = 4, ntyp = 3
/
ATOMIC_SPECIES
Ca 40.08 Ca.upf
Tb 158.93 Tb.upf
Li 6.94 Li.upf
CELL_PARAMETERS angstrom
5.4075 0.0000 0.0000
2.7038 4.6830 0.0000
2.7038 1.5610 4.4152
ATOMIC_POSITIONS crystal
Ca 0.5000 0.5000 0.5000
Tb 0.0000 0.0000 0.0000
Li 0.2500 0.2500 0.2500
Li 0.7500 0.7500 0.7500
```

ΔH_f (0 K) in eV per atom: 0.138
ΔE to the lowest computed polymorph in meV/atom: 33

***

No. 8
Material: Cs2UPSe6
Method: DFT, GGA-PBE
State: optimized geometry Values from VASP.

Cell and atoms, written as Quantum ESPRESSO input:
```
&SYSTEM
  ibrav = 0, nat = 10, ntyp = 4
/
ATOMIC_SPECIES
Cs 132.91 Cs.upf
U 238.03 U.upf
P 30.97 P.upf
Se 78.96 Se.upf
CELL_PARAMETERS angstrom
6.3924 0.0000 0.0000
0.0000 7.7636 0.0000
0.0000 -3.8818 6.7235
ATOMIC_POSITIONS crystal
Cs 0.2392 0.3333 0.6667
Cs 0.7608 0.6667 0.3333
U 0.5000 0.0000 0.0000
P 0.0000 0.0000 0.0000
Se 0.7673 0.1553 0.3107
Se 0.7673 0.1553 0.8447
Se 0.7673 0.6893 0.8447
Se 0.2327 0.8447 0.1553
Se 0.2327 0.3107 0.1553
Se 0.2327 0.8447 0.6893
```

Uncorrected formation energy in eV/atom: -0.7903

***

No. 9
Material: DyBe2Fe3
Method: DFT, GGA-PBE
State: optimized geometry Values from VASP.

Cell and atoms, written as Quantum ESPRESSO input:
```
&SYSTEM
  ibrav = 0, nat = 6, ntyp = 3
/
ATOMIC_SPECIES
Dy 162.50 Dy.upf
Be 9.01 Be.upf
Fe 55.84 Fe.upf
CELL_PARAMETERS angstrom
3.6043 0.0000 0.0000
0.0000 4.2907 -2.4707
0.0000 -0.0056 4.9517
ATOMIC_POSITIONS crystal
Dy 0.0000 0.0012 0.0000
Be 0.0000 0.3345 0.6665
Be 0.0000 0.6680 0.3335
Fe 0.5000 0.0012 0.5000
Fe 0.5000 0.5013 0.5000
Fe 0.5000 0.5013 0.0000
```

ΔH_f (0 K) in eV per atom: -0.151

***

No. 10
Material: Cr3Rh
Method: DFT, GGA-PBE
State: optimized geometry Values from VASP.

Cell and atoms, written as Quantum ESPRESSO input:
```
&SYSTEM
  ibrav = 0, nat = 4, ntyp = 2
/
ATOMIC_SPECIES
Cr 52.00 Cr.upf
Rh 102.91 Rh.upf
CELL_PARAMETERS angstrom
4.8242 0.0006 0.0020
-2.1883 4.2994 0.0020
-2.1883 -3.5697 2.3961
ATOMIC_POSITIONS crystal
Cr 0.0000 0.0000 0.0000
Cr 0.0000 0.5000 0.5000
Cr 0.5000 0.5000 0.0000
Rh 0.5000 0.0000 0.5000
```

ΔH_f (0 K) in eV per atom: 0.169
ΔE to the lowest computed polymorph in meV/atom: 126

***

No. 11
Material: MgTe2Pt
Method: DFT, GGA-PBE
State: optimized geometry Values from VASP.

Cell and atoms, written as Quantum ESPRESSO input:
```
&SYSTEM
  ibrav = 0, nat = 4, ntyp = 3
/
ATOMIC_SPECIES
Mg 24.30 Mg.upf
Te 127.60 Te.upf
Pt 195.08 Pt.upf
CELL_PARAMETERS angstrom
-1.8476 6.8476 -0.6246
-0.8461 4.0570 -5.7895
-1.5631 -6.0487 3.4150
ATOMIC_POSITIONS crystal
Mg 0.7500 0.2500 0.5000
Te 0.1073 0.1073 0.0000
Te 0.3927 0.3927 0.0000
Pt 0.2500 0.7500 0.5000
```

Uncorrected formation energy in eV/atom: -0.5600

***

No. 12
Material: La2TbSn3Ir4
Method: DFT, GGA-PBE
State: optimized geometry Values from VASP.

Cell and atoms, written as Quantum ESPRESSO input:
```
&SYSTEM
  ibrav = 0, nat = 10, ntyp = 4
/
ATOMIC_SPECIES
La 138.91 La.upf
Tb 158.93 Tb.upf
Sn 118.71 Sn.upf
Ir 192.22 Ir.upf
CELL_PARAMETERS angstrom
-0.0716 3.2200 3.0390
-3.5896 1.7371 -1.9252
-6.8207 -6.5643 6.7945
ATOMIC_POSITIONS crystal
La 0.5000 0.0000 0.2351
La 0.0000 0.5000 0.7649
Tb 0.5000 0.5000 0.5000
Sn 0.0000 0.0000 0.5000
Sn 0.5000 0.0000 0.8747
Sn 0.0000 0.5000 0.1253
Ir 0.5000 0.5000 0.0000
Ir 0.0000 0.0000 0.0000
Ir 0.5000 0.0000 0.6489
Ir 0.0000 0.5000 0.3511
```

ΔH_f (0 K) in eV per atom: -0.658

***

No. 13
Material: PmY3Sc4
Method: DFT, GGA-PBE
State: optimized geometry Values from VASP.

Cell and atoms, written as Quantum ESPRESSO input:
```
&SYSTEM
  ibrav = 0, nat = 8, ntyp = 3
/
ATOMIC_SPECIES
Pm 145.00 Pm.upf
Y 88.91 Y.upf
Sc 44.96 Sc.upf
CELL_PARAMETERS angstrom
-3.7002 -2.9886 5.1814
6.8096 -0.7316 -1.6013
-1.2155 6.4055 2.6386
ATOMIC_POSITIONS crystal
Pm 0.9938 0.5000 0.4938
Y 0.5941 0.2048 0.7989
Y 0.9244 0.0000 0.9244
Y 0.5941 0.7952 0.3893
Sc 0.2837 0.6769 0.9606
Sc 0.2837 0.3231 0.6068
Sc 0.4744 0.2358 0.2386
Sc 0.0028 0.7642 0.2386
```

ΔH_f (0 K) in eV per atom: 0.327

***

No. 14
Material: Zr2Hg4Sb
Method: DFT, GGA-PBE
State: optimized geometry Values from VASP.

Cell and atoms, written as Quantum ESPRESSO input:
```
&SYSTEM
  ibrav = 0, nat = 7, ntyp = 3
/
ATOMIC_SPECIES
Sb 121.76 Sb.upf
Hg 200.59 Hg.upf
Zr 91.22 Zr.upf
CELL_PARAMETERS angstrom
-3.0474 3.2373 3.3570
0.2444 -3.8937 3.9769
4.5566 2.6433 6.2101
ATOMIC_POSITIONS crystal
Sb 0.0000 0.0000 0.0000
Hg 0.7940 0.7940 0.4119
Hg 0.2060 0.2060 0.5881
Hg 0.0000 0.5000 0.0000
Hg 0.5000 0.0000 0.0000
Zr 0.5924 0.5924 0.8152
Zr 0.4076 0.4076 0.1848
```

Uncorrected formation energy in eV/atom: 0.4618

***

No. 15
Material: Pr3Ni2Ge3
Method: DFT, GGA-PBE
State: optimized geometry Values from VASP.

Cell and atoms, written as Quantum ESPRESSO input:
```
&SYSTEM
  ibrav = 0, nat = 16, ntyp = 3
/
ATOMIC_SPECIES
Pr 140.91 Pr.upf
Ni 58.69 Ni.upf
Ge 72.64 Ge.upf
CELL_PARAMETERS angstrom
-3.1831 2.7284 -1.0105
-1.9408 -4.5124 3.1322
2.4995 7.4813 12.3267
ATOMIC_POSITIONS crystal
Pr 0.9138 0.8276 0.3915
Pr 0.0862 0.1724 0.8915
Pr 0.9138 0.8276 0.1085
Pr 0.0862 0.1724 0.6085
Pr 0.6299 0.2598 0.2500
Pr 0.3701 0.7402 0.7500
Ni 0.7946 0.5891 0.9020
Ni 0.2054 0.4109 0.4020
Ni 0.7946 0.5891 0.5980
Ni 0.2054 0.4109 0.0980
Ge 0.6319 0.2638 0.4618
Ge 0.3681 0.7362 0.9618
Ge 0.6319 0.2638 0.0382
Ge 0.3681 0.7362 0.5382
Ge 0.3277 0.6554 0.2500
Ge 0.6723 0.3446 0.7500
```

ΔH_f (0 K) in eV per atom: -0.715

***

No. 16
Material: MgCdSnF6
Method: DFT, GGA-PBE
State: optimized geometry Values from VASP.

Cell and atoms, written as Quantum ESPRESSO input:
```
&SYSTEM
  ibrav = 0, nat = 9, ntyp = 4
/
ATOMIC_SPECIES
Mg 24.30 Mg.upf
Cd 112.41 Cd.upf
Sn 118.71 Sn.upf
F 19.00 F.upf
CELL_PARAMETERS angstrom
-2.2531 -3.2361 -4.0500
-1.6287 -5.2824 1.1808
-4.5974 1.6879 1.2086
ATOMIC_POSITIONS crystal
Mg 0.3333 0.3333 0.5000
Cd 0.6666 0.6667 0.5000
Sn 0.0000 0.0000 0.0000
F 0.0312 0.3375 0.2782
F 0.3374 0.0313 0.7218
F 0.6313 0.3375 0.7218
F 0.0312 0.6314 0.7218
F 0.3374 0.6313 0.2782
F 0.6314 0.0312 0.2782
```

Uncorrected formation energy in eV/atom: -2.6405

***

No. 17
Material: Nd4DyY3S8
Method: DFT, GGA-PBE
State: optimized geometry Values from VASP.

Cell and atoms, written as Quantum ESPRESSO input:
```
&SYSTEM
  ibrav = 0, nat = 16, ntyp = 4
/
ATOMIC_SPECIES
Nd 144.24 Nd.upf
Dy 162.50 Dy.upf
Y 88.91 Y.upf
S 32.06 S.upf
CELL_PARAMETERS angstrom
7.9324 0.0000 0.0000
0.0000 8.0436 0.0730
-3.9662 -3.9619 5.6120
ATOMIC_POSITIONS crystal
Nd 0.5000 0.0000 0.0000
Nd 0.5000 0.0000 0.5000
Nd 0.0000 0.0000 0.0000
Nd 0.0000 0.0000 0.5000
Dy 0.0000 0.5000 0.0000
Y 0.5000 0.5000 0.0000
Y 0.5000 0.5000 0.5000
Y 0.0000 0.5000 0.5000
S 0.2444 0.7342 0.9898
S 0.2445 0.7342 0.4889
S 0.2551 0.2654 0.5103
S 0.7453 0.7342 0.9898
S 0.2547 0.2658 0.0102
S 0.7449 0.7346 0.4897
S 0.7555 0.2658 0.5111
S 0.7556 0.2658 0.0102
```

Uncorrected formation energy in eV/atom: -2.0125

***

No. 18
Material: Y2MnReH
Method: DFT, GGA-PBE
State: optimized geometry Values from VASP.

Cell and atoms, written as Quantum ESPRESSO input:
```
&SYSTEM
  ibrav = 0, nat = 5, ntyp = 4
/
ATOMIC_SPECIES
Y 88.91 Y.upf
Re 186.21 Re.upf
Mn 54.94 Mn.upf
H 1.01 H.upf
CELL_PARAMETERS angstrom
5.3147 0.0000 0.0000
0.0000 4.2796 0.0000
0.0000 0.0000 5.3147
ATOMIC_POSITIONS crystal
Y 0.0000 0.0000 0.5000
Y 0.5000 0.0000 0.0000
Re 0.0000 0.5000 0.0000
Mn 0.0000 0.0000 0.0000
H 0.5000 0.5000 0.5000
```

Final energy in Ry per atom: -0.49008

***

No. 19
Material: LiSm3Zn4
Method: DFT, GGA-PBE
State: optimized geometry Values from VASP.

Cell and atoms, written as Quantum ESPRESSO input:
```
&SYSTEM
  ibrav = 0, nat = 8, ntyp = 3
/
ATOMIC_SPECIES
Zn 65.41 Zn.upf
Sm 150.36 Sm.upf
Li 6.94 Li.upf
CELL_PARAMETERS angstrom
-4.2978 0.4662 -2.5404
-2.5730 -4.0878 -1.3457
-6.4794 -0.9208 5.8443
ATOMIC_POSITIONS crystal
Zn 0.8786 0.8786 0.3644
Zn 0.3743 0.3743 0.8772
Zn 0.1214 0.1214 0.6356
Zn 0.6257 0.6257 0.1228
Sm 0.2549 0.2549 0.2352
Sm 0.7451 0.7451 0.7648
Sm 0.5000 0.5000 0.5000
Li 0.0000 0.0000 0.0000
```

ΔH_f (0 K) in eV per atom: -0.262

***

No. 20
Material: SmLuPuSn
Method: DFT, GGA-PBE
State: optimized geometry Values from VASP.

Cell and atoms, written as Quantum ESPRESSO input:
```
&SYSTEM
  ibrav = 0, nat = 4, ntyp = 4
/
ATOMIC_SPECIES
Lu 174.97 Lu.upf
Sn 118.71 Sn.upf
Sm 150.36 Sm.upf
Pu 244.00 Pu.upf
CELL_PARAMETERS angstrom
5.4083 0.0000 0.0000
2.7042 4.6837 0.0000
2.7042 1.5612 4.4159
ATOMIC_POSITIONS crystal
Lu 0.7500 0.7500 0.7500
Sn 0.2500 0.2500 0.2500
Sm 0.5000 0.5000 0.5000
Pu 0.0000 0.0000 0.0000
```

ΔH_f (0 K) in eV per atom: -0.139

***

No. 21
Material: Sm4Cr
Method: DFT, GGA-PBE
State: optimized geometry Values from VASP.

Cell and atoms, written as Quantum ESPRESSO input:
```
&SYSTEM
  ibrav = 0, nat = 5, ntyp = 2
/
ATOMIC_SPECIES
Cr 52.00 Cr.upf
Sm 150.36 Sm.upf
CELL_PARAMETERS angstrom
5.3879 0.0000 0.0000
0.0000 5.3879 0.0000
0.0000 0.0000 5.3879
ATOMIC_POSITIONS crystal
Cr 0.5000 0.5000 0.5000
Sm 0.0000 0.0000 0.0000
Sm 0.5000 0.0000 0.5000
Sm 0.0000 0.5000 0.5000
Sm 0.5000 0.5000 0.0000
```

ΔH_f (0 K) in eV per atom: 0.421

***

No. 22
Material: Pm2AlCu3
Method: DFT, GGA-PBE
State: optimized geometry Values from VASP.

Cell and atoms, written as Quantum ESPRESSO input:
```
&SYSTEM
  ibrav = 0, nat = 12, ntyp = 3
/
ATOMIC_SPECIES
Pm 145.00 Pm.upf
Al 26.98 Al.upf
Cu 63.55 Cu.upf
CELL_PARAMETERS angstrom
-2.7913 -4.7032 0.7849
5.5239 -0.0137 0.1157
-0.1714 1.4972 8.3617
ATOMIC_POSITIONS crystal
Pm 0.6667 0.3333 0.4522
Pm 0.3333 0.6667 0.5478
Pm 0.3333 0.6667 0.9522
Pm 0.6667 0.3333 0.0478
Al 0.0000 0.0000 0.5000
Al 0.0000 0.0000 0.0000
Cu 0.1626 0.3252 0.2500
Cu 0.3252 0.1626 0.7500
Cu 0.8374 0.6748 0.7500
Cu 0.1626 0.8374 0.2500
Cu 0.8374 0.1626 0.7500
Cu 0.6748 0.8374 0.2500
```

ΔH_f (0 K) in eV per atom: -0.274
ΔE to the lowest computed polymorph in meV/atom: 0

***

No. 23
Material: Sr2LiBiF
Method: DFT, GGA-PBE
State: optimized geometry Values from VASP.

Cell and atoms, written as Quantum ESPRESSO input:
```
&SYSTEM
  ibrav = 0, nat = 5, ntyp = 4
/
ATOMIC_SPECIES
Sr 87.62 Sr.upf
Li 6.94 Li.upf
Bi 208.98 Bi.upf
F 19.00 F.upf
CELL_PARAMETERS angstrom
5.4241 0.0000 0.0000
0.0000 5.4241 0.0000
0.0000 0.0000 4.4879
ATOMIC_POSITIONS crystal
Sr 0.0000 0.5000 0.0000
Sr 0.5000 0.0000 0.0000
Li 0.0000 0.0000 0.5000
Bi 0.5000 0.5000 0.5000
F 0.0000 0.0000 0.0000
```

Uncorrected formation energy in eV/atom: -1.4669

***

No. 24
Material: LaZrAs
Method: DFT, GGA-PBE
State: optimized geometry Values from VASP.

Cell and atoms, written as Quantum ESPRESSO input:
```
&SYSTEM
  ibrav = 0, nat = 12, ntyp = 3
/
ATOMIC_SPECIES
As 74.92 As.upf
Zr 91.22 Zr.upf
La 138.91 La.upf
CELL_PARAMETERS angstrom
4.2107 0.0000 0.0000
0.0000 4.2107 0.0000
0.0000 0.0000 16.8705
ATOMIC_POSITIONS crystal
As 0.0000 0.0000 0.1201
As 0.0000 0.0000 0.8799
As 0.5000 0.5000 0.6201
As 0.5000 0.5000 0.3799
Zr 0.0000 0.5000 0.0000
Zr 0.5000 0.0000 0.0000
Zr 0.5000 0.0000 0.5000
Zr 0.0000 0.5000 0.5000
La 0.0000 0.0000 0.6764
La 0.0000 0.0000 0.3236
La 0.5000 0.5000 0.1764
La 0.5000 0.5000 0.8236
```

ΔH_f (0 K) in eV per atom: -0.997
ΔE to the lowest computed polymorph in meV/atom: 0

***

What did we get for calculated volume? Answer: 114.8; 69.2; 398.3; 224.8; 208.5; 255.1; 111.8; 333.7; 76.5; 49.8; 113.7; 228.5; 238.5; 221.2; 341.6; 139.6; 360.4; 120.9; 180.3; 111.9; 156.4; 224.6; 132.0; 299.1 Å³ per cell, in the order shown.